1.
TmZnCd11: relaxed, GGA-PBE.

Unit cell a=5.928 b=7.515 c=7.562 alpha=81.38 beta=66.92 gamma=67.52
Sites, in units of the cell vectors:
Cd  0.000  0.000  0.500
Cd  0.647  0.352  0.344
Cd  0.297  0.217  0.210
Cd  0.009  0.648  0.344
Cd  0.000  0.500  0.000
Cd  0.991  0.352  0.656
Cd  0.353  0.648  0.656
Cd  0.500  0.000  0.500
Cd  0.703  0.783  0.790
Cd  0.507  0.217  0.790
Cd  0.493  0.783  0.210
Zn  0.500  0.500  0.000
Tm  0.000  0.000  0.000

Values from the calculation:
Its space group is No. 12. The density comes out at 8.53 g/cm³.

2.
TmMg2Ni2: relaxed, GGA-PBE.

Unit cell a=3.961 b=4.862 c=10.353 alpha=107.05 beta=90.00 gamma=90.00
Sites, in units of the cell vectors:
Mg  0.250  0.274  0.521
Mg  0.750  0.726  0.479
Mg  0.750  0.189  0.108
Mg  0.250  0.811  0.892
Ni  0.750  0.142  0.349
Ni  0.250  0.361  0.972
Ni  0.750  0.639  0.028
Ni  0.250  0.858  0.651
Tm  0.250  0.760  0.229
Tm  0.750  0.240  0.771

Values from the calculation:
Its space group is No. 11. The density comes out at 5.83 g/cm³.

What ΔH_f (0 K) values result from the calculations? In sequence: -0.62, -0.90 eV/f.u..